LiDyPbI6 after structural relaxation, computed with PBE-GGA.

Crystal system ... trigonal
E ... -3.233 eV per atom
Total magnetic moment ... 0.00 μB/f.u.
Raw formation energy ... -1.0639 eV/atom
V ... 40.44 Å³/atom

POSCAR file:
```
LiDyPbI6
1.0
7.707 0.000 0.000
-3.853 6.674 0.000
0.000 0.000 14.151
Li Dy Pb I
2 2 2 12
Cartesian
0.000 4.450 3.538
3.853 2.225 10.613
0.000 4.450 10.613
3.853 2.225 3.538
0.000 0.000 0.000
0.000 0.000 7.076
-1.345 2.372 1.826
-2.472 4.324 5.250
1.345 2.372 5.250
-1.127 6.653 1.826
2.726 0.021 8.901
1.382 2.350 12.325
2.472 4.324 1.826
1.127 6.653 5.250
4.981 0.021 12.325
2.509 4.303 8.901
6.325 2.350 8.901
5.198 4.303 12.325
```